9
Lattice="6.293 -0.041 -0.059 -3.056 5.501 0.059 -3.056 -1.878 5.171" Properties=species:S:1:pos:R:3 comment="La2Ga2FeGe4 | Alexandria via LeMat-Bulk | PBE | relaxed" ef_ev_per_atom=-0.483 pbc="T T T"
La 0.090 3.636 1.307
La 0.090 -0.053 3.863
Ga -4.385 2.599 3.752
Ga -1.728 1.024 1.478
Ge -1.590 2.614 3.773
Ge -3.056 0.140 3.773
Ge -3.056 3.483 1.457
Ge 1.770 0.968 1.398
Fe 0.000 0.000 0.000


8
Lattice="-1.291 -2.852 2.386 2.782 -4.730 -4.148 6.464 -1.235 2.021" Properties=species:S:1:pos:R:3 comment="CaPrEr2S4 | Alexandria via LeMat-Bulk | PBE | relaxed" energy_ev_per_atom=-6.061 pbc="T T T"
S 3.101 -5.345 -1.464
S 6.903 -4.537 -1.688
S 4.854 -3.471 1.724
S 1.052 -4.279 1.947
Er 2.587 -2.043 2.204
Er 6.464 -1.235 2.021
Ca 4.623 -2.982 -1.063
Pr 0.745 -3.791 -0.881


6
Lattice="3.414 0.000 0.000 -1.707 2.957 0.000 0.000 0.000 15.338" Properties=species:S:1:pos:R:3 comment="CdGaBi | Alexandria via LeMat-Bulk | PBE | relaxed" ef_ev_per_atom=0.102 pbc="T T T"
Cd 1.707 1.548 5.459
Cd 1.707 1.548 9.879
Ga 0.000 2.545 7.669
Ga 0.000 2.743 0.000
Bi 0.000 0.735 12.600
Bi 0.000 0.735 2.738


6
Lattice="-2.223 -1.645 -3.329 2.345 -2.610 2.535 -4.518 -0.763 3.394" Properties=species:S:1:pos:R:3 comment="GaCuAg | Alexandria via LeMat-Bulk | PBE | relaxed" ef_ev_per_atom=-0.001 pbc="T T T"
Ag -2.259 -0.382 1.697
Ag 0.000 0.000 0.000
Ga -4.090 -2.539 1.170
Ga -0.307 -2.479 1.429
Cu -2.567 -2.861 3.125
Cu -1.830 -2.158 -0.526


4
Lattice="-0.030 4.805 0.920 -4.209 2.264 1.046 -0.846 1.616 4.540" Properties=species:S:1:pos:R:3 comment="SmTmBeCu | Alexandria via LeMat-Bulk | PBE | relaxed" ef_ev_per_atom=-0.043 pbc="T T T"
Cu -1.271 2.171 1.626
Sm -2.542 4.343 3.253
Be -3.813 6.514 4.879
Tm 0.000 0.000 0.000


10
Lattice="3.755 -0.001 -0.001 0.001 8.516 0.027 0.002 2.986 7.976" Properties=species:S:1:pos:R:3 comment="Ho3CoAg | Alexandria via LeMat-Bulk | PBE | relaxed" ef_ev_per_atom=-0.157 pbc="T T T"
Ho 3.244 5.627 6.504
Ho 3.244 2.138 5.413
Ho 3.242 7.765 3.430
Ho 3.241 5.529 0.537
Ho 1.365 4.455 3.408
Ho 1.364 0.323 0.533
Co 1.364 6.647 1.984
Co 1.367 3.883 5.959
Ag 1.367 8.141 5.973
Ag 3.242 2.388 1.972


For the records above, the corresponding total moment values read 0.000; 0.000; 0.000; 0.000; 0.000; 0.000 μB per atom.